Entry 1:
{
  "formula": "Ac2P3Rh12Au",
  "functional": "PBE",
  "state": "optimized geometry",
  "magmom_total_mub_per_cell": 0.0,
  "ef_ev_per_atom": -0.1557,
  "lattice_angstrom": [[7.202, -0.715, -0.507], [2.935, 6.616, -0.507], [2.935, 1.708, 6.411]],
  "species": ["Ac", "Ac", "P", "P", "P", "Rh", "Rh", "Rh", "Rh", "Rh", "Rh", "Rh", "Rh", "Rh", "Rh", "Rh", "Rh", "Au"],
  "fractional_positions": [[0.607, 0.607, 0.607], [0.393, 0.393, 0.393], [0.500, 0.000, 0.000], [0.000, 0.500, 0.000], [0.000, 0.000, 0.500], [0.329, 0.329, 0.915], [0.858, 0.858, 0.372], [0.372, 0.858, 0.858], [0.915, 0.329, 0.329], [0.858, 0.372, 0.858], [0.329, 0.915, 0.329], [0.671, 0.671, 0.085], [0.142, 0.142, 0.628], [0.628, 0.142, 0.142], [0.085, 0.671, 0.671], [0.142, 0.628, 0.142], [0.671, 0.085, 0.671], [0.000, 0.000, 0.000]]
}

---

Entry 2:
{
  "formula": "TaCrSnOs",
  "functional": "PBE",
  "state": "optimized geometry",
  "magmom_total_mub_per_cell": 3.8,
  "ef_ev_per_atom": 0.2551,
  "lattice_angstrom": [[6.565, 0.000, -0.060], [0.000, 3.059, 0.000], [-4.977, 0.000, 7.102]],
  "species": ["Cr", "Cr", "Os", "Os", "Sn", "Sn", "Ta", "Ta"],
  "fractional_positions": [[0.705, 0.000, 0.465], [0.705, 0.500, 0.965], [0.274, 0.000, 0.713], [0.274, 0.500, 0.213], [0.001, 0.000, 0.311], [0.001, 0.500, 0.811], [0.476, 0.000, 0.083], [0.476, 0.500, 0.583]]
}

---

Entry 3:
{
  "formula": "Fe2SiHg",
  "functional": "PBE",
  "state": "optimized geometry",
  "de_polymorph_kj_per_mol_atoms": 12.80,
  "formation_energy_uncorrected_ev_per_atom": 0.2107,
  "magmom_total_mub_per_cell": 4.5,
  "lattice_angstrom": [[2.981, 0.000, 0.000], [0.000, 2.981, 0.000], [0.000, 0.000, 6.732]],
  "species": ["Fe", "Fe", "Hg", "Si"],
  "fractional_positions": [[0.000, 0.000, 0.993], [0.500, 0.500, 0.198], [0.000, 0.000, 0.483], [0.500, 0.500, 0.826]]
}

---

Entry 4:
{
  "formula": "ReAgRh2",
  "functional": "PBE",
  "state": "optimized geometry",
  "de_polymorph_kj_per_mol_atoms": 24.82,
  "magmom_total_mub_per_cell": 0.0,
  "ef_ev_per_atom": 0.2513,
  "lattice_angstrom": [[1.382, 4.647, 0.003], [-1.382, 4.647, 0.003], [0.000, 0.862, 4.692]],
  "species": ["Re", "Ag", "Rh", "Rh"],
  "fractional_positions": [[0.259, 0.259, 0.223], [0.499, 0.499, 0.513], [0.998, 0.998, 0.021], [0.743, 0.743, 0.744]]
}

---

Entry 5:
{
  "formula": "TaReAg2",
  "functional": "PBE",
  "state": "optimized geometry",
  "de_polymorph_kj_per_mol_atoms": 28.42,
  "magmom_total_mub_per_cell": 0.0,
  "ef_ev_per_atom": 0.5175,
  "lattice_angstrom": [[5.413, 0.005, 0.008], [2.326, 4.888, -0.008], [-3.263, -3.405, 2.657]],
  "species": ["Re", "Ag", "Ag", "Ta"],
  "fractional_positions": [[0.483, 0.483, 0.000], [0.002, 0.002, 0.000], [0.745, 0.245, 0.500], [0.270, 0.770, 0.500]]
}

---

Entry 6:
{
  "formula": "TbPrMnHg",
  "functional": "PBE",
  "state": "optimized geometry",
  "magmom_total_mub_per_cell": 3.2,
  "ef_ev_per_atom": -0.0555,
  "lattice_angstrom": [[5.269, 0.000, 0.000], [2.635, 4.563, 0.000], [2.635, 1.521, 4.302]],
  "species": ["Pr", "Mn", "Tb", "Hg"],
  "fractional_positions": [[0.750, 0.750, 0.750], [0.000, 0.000, 0.000], [0.250, 0.250, 0.250], [0.500, 0.500, 0.500]]
}

---

Entry 7:
{
  "formula": "Ca4TlPd3",
  "functional": "PBE",
  "state": "optimized geometry",
  "magmom_total_mub_per_cell": 0.0,
  "ef_ev_per_atom": -0.5750,
  "lattice_angstrom": [[-2.810, -3.410, 2.463], [-1.880, -3.127, -6.474], [8.006, -6.136, 0.640]],
  "species": ["Ca", "Ca", "Ca", "Ca", "Ca", "Ca", "Ca", "Ca", "Tl", "Tl", "Pd", "Pd", "Pd", "Pd", "Pd", "Pd"],
  "fractional_positions": [[0.500, 0.765, 0.000], [0.500, 0.765, 0.500], [0.500, 0.235, 0.000], [0.500, 0.235, 0.500], [0.001, 0.766, 0.750], [0.999, 0.766, 0.250], [0.999, 0.234, 0.250], [0.001, 0.234, 0.750], [0.000, 0.500, 0.000], [0.000, 0.500, 0.500], [0.000, 0.000, 0.000], [0.000, 0.000, 0.500], [0.501, 0.000, 0.750], [0.499, 0.000, 0.250], [0.502, 0.500, 0.750], [0.498, 0.500, 0.250]]
}

---

Entry 8:
{
  "formula": "Ca5UN4",
  "functional": "PBE",
  "state": "optimized geometry",
  "formation_energy_uncorrected_ev_per_atom": -0.9918,
  "magmom_total_mub_per_cell": 0.7,
  "lattice_angstrom": [[-2.221, 2.430, -1.384], [-2.452, -4.915, -4.691], [-3.605, -2.087, 6.729]],
  "species": ["Ca", "Ca", "Ca", "Ca", "Ca", "U", "N", "N", "N", "N"],
  "fractional_positions": [[0.838, 0.693, 0.676], [0.835, 0.148, 0.671], [0.165, 0.852, 0.329], [0.500, 0.500, 0.000], [0.162, 0.307, 0.324], [0.500, 0.000, 0.000], [0.353, 0.931, 0.706], [0.000, 0.792, 0.999], [0.647, 0.069, 0.294], [0.000, 0.208, 0.001]]
}

---

Which formula does entry 6 have?
TbPrMnHg